[1]
## Tb4Pr3Al (GGA-PBE)

Data for an optimized crystal structure of Tb4Pr3Al.

## Properties
As for the energy of formation: -0.083 eV/atom. As for the final energy: -0.3423 Ry/atom. Its total magnetization is 0.0 μB/cell.

Cell and atoms, written as CIF:
```
data_Tb4Pr3Al
_chemical_formula_sum 'Tb4 Pr3 Al1'
_space_group_name_H-M_alt 'P 4/m m m'
_space_group_IT_number 123
_space_group_name_Hall '-P 4 2'
_cell_length_a 3.610
_cell_length_b 3.610
_cell_length_c 19.390
_cell_angle_alpha 90.00
_cell_angle_beta 90.00
_cell_angle_gamma 90.00
loop_
_atom_site_label
_atom_site_fract_x
_atom_site_fract_y
_atom_site_fract_z
Tb1 0.000 0.000 0.096
Tb2 0.000 0.000 0.366
Pr1 0.500 0.500 0.232
Pr2 0.500 0.500 0.500
Al1 0.500 0.500 0.000
```

---

[2]
## KFe3Pb (GGA-PBE)

Data for an optimized crystal structure of KFe3Pb.

## Properties
As for the energy of formation: 1.386 eV/atom. The energy above the most stable polymorph in this dataset comes out at 0.0000 eV/atom. As for the final energy: -0.3420 Ry/atom. Its total magnetization is 8.9 μB/cell.

Cell and atoms, written as CIF:
```
data_KFe3Pb
_chemical_formula_sum 'K1 Fe3 Pb1'
_space_group_name_H-M_alt 'P m -3 m'
_space_group_IT_number 221
_space_group_name_Hall '-P 4 2 3'
_cell_length_a 5.128
_cell_length_b 5.128
_cell_length_c 5.128
_cell_angle_alpha 90.00
_cell_angle_beta 90.00
_cell_angle_gamma 90.00
loop_
_atom_site_label
_atom_site_fract_x
_atom_site_fract_y
_atom_site_fract_z
K1 0.000 0.000 0.000
Fe1 0.000 0.500 0.500
Pb1 0.500 0.500 0.500
```